Record 1
# CuPb GGA-PBE relaxed
data_CuPb
_space_group_name_H-M_alt 'P 1'
_space_group_IT_number 1
_space_group_name_Hall 'P 1'
_cell_length_a 6.509
_cell_length_b 6.509
_cell_length_c 6.509
_cell_angle_alpha 97.40
_cell_angle_beta 97.40
_cell_angle_gamma 137.93
loop_
_atom_site_label
_atom_site_fract_x
_atom_site_fract_y
_atom_site_fract_z
Cu1 0.148 0.148 0.296
Cu2 0.148 0.852 0.000
Cu3 0.852 0.148 0.000
Cu4 0.852 0.852 0.704
Pb1 0.213 0.500 0.713
Pb2 0.500 0.213 0.713
Pb3 0.500 0.787 0.287
Pb4 0.787 0.500 0.287
# Density   10.43 g cm⁻³
# Energy of formation from the pure elements   253.6 meV/atom
# Space-group type   I4/mmm, No. 139

=====

Record 2
# Cu2Pb3 GGA-PBE relaxed
data_Cu2Pb3
_space_group_name_H-M_alt 'P 1'
_space_group_IT_number 1
_space_group_name_Hall 'P 1'
_cell_length_a 4.639
_cell_length_b 4.639
_cell_length_c 6.568
_cell_angle_alpha 90.00
_cell_angle_beta 90.00
_cell_angle_gamma 120.00
loop_
_atom_site_label
_atom_site_fract_x
_atom_site_fract_y
_atom_site_fract_z
Cu1 0.333 0.667 0.306
Cu2 0.667 0.333 0.694
Pb1 0.000 0.000 0.500
Pb2 0.333 0.667 0.838
Pb3 0.667 0.333 0.162
# Density   10.16 g cm⁻³
# Energy of formation from the pure elements   214.3 meV/atom
# Space-group type   P-3m1, No. 164

=====

Record 3
# CuPb3 GGA-PBE relaxed
data_CuPb3
_space_group_name_H-M_alt 'P 1'
_space_group_IT_number 1
_space_group_name_Hall 'P 1'
_cell_length_a 5.878
_cell_length_b 5.878
_cell_length_c 5.878
_cell_angle_alpha 132.47
_cell_angle_beta 132.47
_cell_angle_gamma 69.49
loop_
_atom_site_label
_atom_site_fract_x
_atom_site_fract_y
_atom_site_fract_z
Cu1 0.000 0.000 0.000
Pb1 0.250 0.750 0.500
Pb2 0.500 0.500 0.000
Pb3 0.750 0.250 0.500
# Density   10.49 g cm⁻³
# Energy of formation from the pure elements   262.6 meV/atom
# Space-group type   I4/mmm, No. 139

=====

Record 4
# Cu3Pb5 GGA-PBE relaxed
data_Cu3Pb5
_space_group_name_H-M_alt 'P 1'
_space_group_IT_number 1
_space_group_name_Hall 'P 1'
_cell_length_a 8.152
_cell_length_b 8.152
_cell_length_c 6.857
_cell_angle_alpha 90.00
_cell_angle_beta 90.00
_cell_angle_gamma 120.00
loop_
_atom_site_label
_atom_site_fract_x
_atom_site_fract_y
_atom_site_fract_z
Cu1 0.000 0.391 0.250
Cu2 0.000 0.609 0.750
Cu3 0.391 0.000 0.250
Cu4 0.391 0.391 0.750
Cu5 0.609 0.000 0.750
Cu6 0.609 0.609 0.250
Pb1 0.000 0.256 0.750
Pb2 0.000 0.744 0.250
Pb3 0.256 0.000 0.750
Pb4 0.256 0.256 0.250
Pb5 0.333 0.667 0.000
Pb6 0.333 0.667 0.500
Pb7 0.667 0.333 0.000
Pb8 0.667 0.333 0.500
Pb9 0.744 0.000 0.250
Pb10 0.744 0.744 0.750
# Density   10.32 g cm⁻³
# Energy of formation from the pure elements   219.0 meV/atom
# Space-group type   P6_3/mcm, No. 193

=====

Record 5
# CuPb3 GGA-PBE relaxed
data_CuPb3
_space_group_name_H-M_alt 'P 1'
_space_group_IT_number 1
_space_group_name_Hall 'P 1'
_cell_length_a 3.549
_cell_length_b 3.549
_cell_length_c 9.974
_cell_angle_alpha 90.00
_cell_angle_beta 90.00
_cell_angle_gamma 120.00
loop_
_atom_site_label
_atom_site_fract_x
_atom_site_fract_y
_atom_site_fract_z
Cu1 0.000 0.000 0.000
Pb1 0.000 0.000 0.500
Pb2 0.667 0.333 0.201
Pb3 0.667 0.333 0.799
# Density   10.46 g cm⁻³
# Energy of formation from the pure elements   157.9 meV/atom
# Space-group type   P-6m2, No. 187

=====

Record 6
# Cu2Pd12Pb5 GGA-PBE relaxed
data_Cu2Pd12Pb5
_space_group_name_H-M_alt 'P 1'
_space_group_IT_number 1
_space_group_name_Hall 'P 1'
_cell_length_a 7.514
_cell_length_b 7.514
_cell_length_c 7.583
_cell_angle_alpha 103.03
_cell_angle_beta 103.03
_cell_angle_gamma 58.08
loop_
_atom_site_label
_atom_site_fract_x
_atom_site_fract_y
_atom_site_fract_z
Cu1 0.170 0.830 0.000
Cu2 0.830 0.170 0.000
Pd1 0.021 0.021 0.695
Pd2 0.122 0.531 0.297
Pd3 0.199 0.574 0.714
Pd4 0.417 0.417 0.066
Pd5 0.426 0.801 0.286
Pd6 0.469 0.878 0.703
Pd7 0.531 0.122 0.297
Pd8 0.574 0.199 0.714
Pd9 0.583 0.583 0.934
Pd10 0.801 0.426 0.286
Pd11 0.878 0.469 0.703
Pd12 0.979 0.979 0.305
Pb1 0.197 0.197 0.487
Pb2 0.200 0.200 0.985
Pb3 0.500 0.500 0.500
Pb4 0.800 0.800 0.015
Pb5 0.803 0.803 0.513
# Density   11.54 g cm⁻³
# Energy of formation from the pure elements   -95.4 meV/atom
# Space-group type   C2/m, No. 12